1.
Material: NaNbSeO6
Method: DFT, PBE
State: optimized geometry

DFT total energy: -6.475 eV per atom
Energy relative to the elements, uncorrected: -1517 meV/atom
Magnetic moment: 0.00 Bohr magnetons per cell
Space group: P-31c (163)

a = 5.179 Å, b = 5.179 Å, c = 10.342 Å
α = 90.00°, β = 90.00°, γ = 120.00°
Element x y z (fractional)
O 0.973 0.367 0.648
Nb 0.333 0.667 0.750
O 0.633 0.027 0.852
Na 0.000 0.000 0.500
O 0.973 0.606 0.852
O 0.633 0.606 0.648
O 0.394 0.367 0.852
O 0.367 0.394 0.352
O 0.606 0.633 0.148
Nb 0.667 0.333 0.250
Se 0.333 0.667 0.250
O 0.394 0.027 0.648
O 0.606 0.973 0.352
Na 0.000 0.000 0.000
O 0.027 0.394 0.148
O 0.027 0.633 0.352
O 0.367 0.973 0.148
Se 0.667 0.333 0.750

2.
Material: Sr2Sm3NpN6
Method: DFT, PBE
State: optimized geometry

DOS at the Fermi energy: 0.335 states/eV per atom
DFT total energy: -7.907 eV per atom
Energy relative to the elements, uncorrected: -1206 meV/atom
Magnetic moment: 1.80 Bohr magnetons per cell
Space group: C2/m (12)

a = 6.284 Å, b = 6.284 Å, c = 6.194 Å
α = 99.75°, β = 99.75°, γ = 120.11°
Last column: magnetic moment on the atom in μB.
Element x y z (fractional)
Sm 0.839 0.161 0.500  0.04
N 0.638 0.920 0.758  -0.07
Sm 0.500 0.500 0.500  0.06
N 0.362 0.080 0.242  -0.07
N 0.792 0.792 0.248  -0.06
N 0.080 0.362 0.242  -0.07
N 0.208 0.208 0.752  -0.06
Sr 0.667 0.333 0.000  0.02
Np 0.000 0.000 0.000  1.84
Sr 0.333 0.667 0.000  0.02
N 0.920 0.638 0.758  -0.07
Sm 0.161 0.839 0.500  0.04

3.
Material: Li4TlCd
Method: DFT, PBE
State: optimized geometry

Formation enthalpy at 0 K: -91 meV/atom
DOS at the Fermi energy: 0.347 states/eV per atom
DFT total energy: -1.914 eV per atom
Energy relative to the lowest polymorph listed for this composition: 123 meV per atom
Magnetic moment: 0.00 Bohr magnetons per cell
Space group: F-43m (216)

a = 5.431 Å, b = 5.431 Å, c = 5.431 Å
α = 60.00°, β = 60.00°, γ = 60.00°
Element x y z (fractional)
Tl 0.750 0.750 0.750
Li 0.875 0.375 0.375
Li 0.375 0.375 0.875
Li 0.375 0.875 0.375
Cd 0.000 0.000 0.000
Li 0.375 0.375 0.375

4.
Material: LiZnCr2
Method: DFT, PBE
State: optimized geometry

Formation enthalpy at 0 K: 175 meV/atom
DOS at the Fermi energy: 0.856 states/eV per atom
DFT total energy: -5.434 eV per atom
Energy relative to the lowest polymorph listed for this composition: 0 meV per atom
Magnetic moment: 0.00 Bohr magnetons per cell
Space group: Cmm2 (35)

a = 2.535 Å, b = 2.535 Å, c = 8.634 Å
α = 90.00°, β = 90.00°, γ = 110.75°
Element x y z (fractional)
Li 0.000 0.000 0.495
Cr 0.000 0.000 0.017
Cr 0.500 0.500 0.229
Zn 0.500 0.500 0.759

5.
Material: Rb2Ti2Te5
Method: DFT, PBE
State: optimized geometry

DFT total energy: -4.456 eV per atom
Energy relative to the elements, uncorrected: -741 meV/atom
Magnetic moment: 0.00 Bohr magnetons per cell
Space group: C2/m (12)

a = 5.387 Å, b = 8.157 Å, c = 9.044 Å
α = 97.41°, β = 90.00°, γ = 109.28°
Element x y z (fractional)
Te 0.125 0.251 0.602
Rb 0.592 0.185 0.304
Rb 0.408 0.815 0.696
Ti 0.149 0.297 0.884
Te 0.688 0.377 0.938
Te 0.000 0.000 0.000
Ti 0.851 0.703 0.116
Te 0.875 0.749 0.398
Te 0.312 0.623 0.062

6.
Material: AgPb2Cl
Method: DFT, PBE
State: optimized geometry

DOS at the Fermi energy: 0.463 states/eV per atom
DFT total energy: -3.115 eV per atom
Energy relative to the elements, uncorrected: -86 meV/atom
Magnetic moment: 0.00 Bohr magnetons per cell
Space group: I4/mmm (139)

a = 5.529 Å, b = 5.529 Å, c = 5.529 Å
α = 127.52°, β = 127.52°, γ = 77.40°
Element x y z (fractional)
Pb 0.000 0.000 0.000
Ag 0.250 0.750 0.500
Pb 0.500 0.500 0.000
Cl 0.750 0.250 0.500

The records above give, respectively, mass density values of 4.02 7.91 5.05 5.65 4.04 8.98 g/cm3.